Entry 1:
Below is a relaxed YNi2Pb2 crystal, with properties calculated at the PBE level.

Cell lengths 6.110, 6.110, 6.110 Å; angles 137.38, 137.38, 61.85 degrees
Sites, in units of the cell vectors:
Y 0.000 0.000 0.000
Ni 0.388 0.388 0.000
Ni 0.612 0.612 0.000
Pb 0.250 0.750 0.500
Pb 0.750 0.250 0.500


Entry 2:
Below is a relaxed NaLuPbSe3 crystal, with properties calculated at the PBE level.

Cell lengths 7.269, 4.094, 11.122 Å; angles 90.00, 101.55, 90.00 degrees
Sites, in units of the cell vectors:
Na 0.126 0.250 0.137
Na 0.874 0.750 0.863
Lu 0.236 0.750 0.454
Lu 0.764 0.250 0.546
Pb 0.366 0.250 0.832
Pb 0.634 0.750 0.168
Se 0.028 0.750 0.641
Se 0.266 0.750 0.999
Se 0.448 0.250 0.355
Se 0.552 0.750 0.645
Se 0.734 0.250 0.001
Se 0.972 0.250 0.359


no.,final energy (eV per cell),V (Å³/atom)
1,-25.292,20.67
2,-54.285,27.03